No. 1
Entry from the Open Quantum Materials Database: RbNdEr after structural relaxation (PBE-GGA). Values from VASP.

Quantum ESPRESSO input file:
```
&SYSTEM
  ibrav = 0, nat = 3, ntyp = 3
/
ATOMIC_SPECIES
Er 167.26 Er.upf
Rb 85.47 Rb.upf
Nd 144.24 Nd.upf
CELL_PARAMETERS angstrom
-1.742 4.200 3.963
-4.224 4.024 -1.532
-5.487 -0.292 2.488
ATOMIC_POSITIONS angstrom
Er -2.863 1.983 1.230
Rb -8.590 5.949 3.689
Nd 0.000 0.000 0.000
```

Summary:
DFT total energy (eV/atom): -2.196

***

No. 2
Entry from the Open Quantum Materials Database: NdErRe after structural relaxation (PBE-GGA). Values from VASP.

Quantum ESPRESSO input file:
```
&SYSTEM
  ibrav = 0, nat = 3, ntyp = 3
/
ATOMIC_SPECIES
Er 167.26 Er.upf
Nd 144.24 Nd.upf
Re 186.21 Re.upf
CELL_PARAMETERS angstrom
0.000 3.403 3.403
3.403 0.000 3.403
3.403 3.403 0.000
ATOMIC_POSITIONS angstrom
Er 1.701 1.701 1.701
Nd 0.000 0.000 0.000
Re 5.104 5.104 5.104
```

Summary:
Formation energy from the elements (kJ per mole of atoms): 119.1

***

No. 3
Entry from the Open Quantum Materials Database: NdEr3S6 after structural relaxation (PBE-GGA). Values from VASP.

Quantum ESPRESSO input file:
```
&SYSTEM
  ibrav = 0, nat = 20, ntyp = 3
/
ATOMIC_SPECIES
Er 167.26 Er.upf
S 32.06 S.upf
Nd 144.24 Nd.upf
CELL_PARAMETERS angstrom
-5.017 6.256 7.910
-5.625 -9.399 -1.184
2.256 -1.700 2.775
ATOMIC_POSITIONS angstrom
Er -2.289 -1.872 4.952
S -7.288 -5.337 4.068
S -7.748 -0.210 7.583
S -3.743 -7.027 2.977
Er -1.999 2.327 7.288
S -5.980 -3.136 7.179
Er -6.386 -7.170 2.212
Nd -3.495 -4.361 1.582
S -5.496 -8.915 0.420
S -2.889 4.072 9.081
Nd -4.890 -0.482 7.918
S -0.637 -4.633 1.918
S -3.616 -4.205 4.602
Er -6.096 -2.971 4.548
S -4.642 2.184 6.524
S -4.769 -0.638 4.899
S -2.405 -1.708 2.322
Er -0.459 -2.105 0.496
S -1.098 0.494 5.433
Er -7.926 -2.738 9.004
```

Summary:
DFT total energy (eV/atom): -6.411

***

No. 4
Entry from the Open Quantum Materials Database: NdErS2 after structural relaxation (PBE-GGA). Values from VASP.

Quantum ESPRESSO input file:
```
&SYSTEM
  ibrav = 0, nat = 4, ntyp = 3
/
ATOMIC_SPECIES
Nd 144.24 Nd.upf
S 32.06 S.upf
Er 167.26 Er.upf
CELL_PARAMETERS angstrom
-0.475 3.403 1.896
-1.041 0.002 3.784
6.864 -1.228 -0.152
ATOMIC_POSITIONS angstrom
Nd 2.674 1.089 2.764
S 4.897 -0.072 1.341
Er 0.000 0.000 0.000
S 0.451 2.249 4.187
```

Summary:
DFT total energy (eV/atom): -6.395

***

No. 5
Entry from the Open Quantum Materials Database: Nd2ErS3 after structural relaxation (PBE-GGA). Values from VASP.

Quantum ESPRESSO input file:
```
&SYSTEM
  ibrav = 0, nat = 6, ntyp = 3
/
ATOMIC_SPECIES
Er 167.26 Er.upf
S 32.06 S.upf
Nd 144.24 Nd.upf
CELL_PARAMETERS angstrom
-0.698 0.600 3.868
-2.428 -2.327 -2.121
5.587 -7.858 2.228
ATOMIC_POSITIONS angstrom
Er 2.793 -3.929 1.114
S 0.672 -3.114 2.648
Nd 3.361 -6.895 3.720
S 1.789 -6.472 1.327
Nd -0.900 -2.690 0.255
S 0.000 0.000 0.000
```

Summary:
DFT total energy (eV/atom): -6.418

***

No. 6
Entry from the Open Quantum Materials Database: NdErSb after structural relaxation (PBE-GGA). Values from VASP.

Quantum ESPRESSO input file:
```
&SYSTEM
  ibrav = 0, nat = 3, ntyp = 3
/
ATOMIC_SPECIES
Nd 144.24 Nd.upf
Sb 121.76 Sb.upf
Er 167.26 Er.upf
CELL_PARAMETERS angstrom
0.000 3.631 3.631
3.631 0.000 3.631
3.631 3.631 0.000
ATOMIC_POSITIONS angstrom
Nd 3.631 3.631 3.631
Sb 5.447 5.447 5.447
Er 0.000 0.000 0.000
```

Summary:
DFT total energy (eV/atom): -5.034

***

No. 7
Entry from the Open Quantum Materials Database: NdErZr2Sb2 after structural relaxation (PBE-GGA). Values from VASP.

Quantum ESPRESSO input file:
```
&SYSTEM
  ibrav = 0, nat = 6, ntyp = 4
/
ATOMIC_SPECIES
Sb 121.76 Sb.upf
Er 167.26 Er.upf
Zr 91.22 Zr.upf
Nd 144.24 Nd.upf
CELL_PARAMETERS angstrom
-2.153 2.153 8.395
2.153 -2.153 8.395
2.153 2.153 -8.395
ATOMIC_POSITIONS angstrom
Sb 0.000 0.000 2.203
Sb 0.000 0.000 14.605
Er 0.000 0.000 11.332
Zr 2.153 0.000 0.021
Nd 0.000 0.000 5.399
Zr 0.000 2.153 0.021
```

Summary:
DFT total energy (eV/atom): -6.569

***

No. 8
Entry from the Open Quantum Materials Database: Nd5ErSe6 after structural relaxation (PBE-GGA). Values from VASP.

Quantum ESPRESSO input file:
```
&SYSTEM
  ibrav = 0, nat = 12, ntyp = 3
/
ATOMIC_SPECIES
Se 78.96 Se.upf
Er 167.26 Er.upf
Nd 144.24 Nd.upf
CELL_PARAMETERS angstrom
3.632 -6.298 0.000
3.632 6.298 0.000
-2.422 0.000 6.833
ATOMIC_POSITIONS angstrom
Se -0.084 0.000 5.142
Er 0.000 0.000 0.000
Se 3.673 -2.024 5.179
Se 3.673 2.024 5.179
Se 1.168 2.024 1.654
Nd 2.421 4.110 3.416
Nd 3.632 -2.113 0.000
Nd 3.632 2.113 0.000
Se 4.925 0.000 1.691
Nd 2.421 0.000 3.416
Nd 2.421 -4.110 3.416
Se 1.168 -2.024 1.654
```

Summary:
DFT total energy (eV/atom): -5.923

***

No. 9
Entry from the Open Quantum Materials Database: NdEr3Si4 after structural relaxation (PBE-GGA). Values from VASP.

Quantum ESPRESSO input file:
```
&SYSTEM
  ibrav = 0, nat = 8, ntyp = 3
/
ATOMIC_SPECIES
Si 28.09 Si.upf
Er 167.26 Er.upf
Nd 144.24 Nd.upf
CELL_PARAMETERS angstrom
5.715 0.000 0.000
0.000 3.839 0.000
-0.030 0.000 7.941
ATOMIC_POSITIONS angstrom
Si 3.585 1.919 3.728
Si 4.973 1.919 7.587
Si 2.092 0.000 4.301
Si 0.733 0.000 0.272
Er 5.041 0.000 5.395
Er 0.643 1.919 2.559
Nd 3.503 0.000 1.420
Er 2.170 1.919 6.502
```

Summary:
DFT total energy (eV/atom): -5.818

***

No. 10
Entry from the Open Quantum Materials Database: NdErSi2 after structural relaxation (PBE-GGA). Values from VASP.

Quantum ESPRESSO input file:
```
&SYSTEM
  ibrav = 0, nat = 8, ntyp = 3
/
ATOMIC_SPECIES
Er 167.26 Er.upf
Nd 144.24 Nd.upf
Si 28.09 Si.upf
CELL_PARAMETERS angstrom
3.879 0.000 0.000
0.000 5.781 0.000
0.000 0.000 8.043
ATOMIC_POSITIONS angstrom
Er 0.000 3.671 6.594
Nd 1.940 0.786 5.459
Si 1.940 2.196 0.301
Si 1.940 3.584 4.323
Nd 1.940 4.995 1.438
Er 0.000 2.110 2.572
Si 0.000 5.039 3.731
Si 0.000 0.742 7.753
```

Summary:
DFT total energy (eV/atom): -5.821

***

No. 11
Entry from the Open Quantum Materials Database: NdErSi after structural relaxation (PBE-GGA). Values from VASP.

Quantum ESPRESSO input file:
```
&SYSTEM
  ibrav = 0, nat = 3, ntyp = 3
/
ATOMIC_SPECIES
Er 167.26 Er.upf
Nd 144.24 Nd.upf
Si 28.09 Si.upf
CELL_PARAMETERS angstrom
0.000 3.474 3.474
3.474 0.000 3.474
3.474 3.474 0.000
ATOMIC_POSITIONS angstrom
Er 1.737 1.737 1.737
Nd 5.211 5.211 5.211
Si 0.000 0.000 0.000
```

Summary:
DFT total energy (eV/atom): -5.357

***

No. 12
Entry from the Open Quantum Materials Database: NdErSi2 after structural relaxation (PBE-GGA). Values from VASP.

Quantum ESPRESSO input file:
```
&SYSTEM
  ibrav = 0, nat = 8, ntyp = 3
/
ATOMIC_SPECIES
Er 167.26 Er.upf
Nd 144.24 Nd.upf
Si 28.09 Si.upf
CELL_PARAMETERS angstrom
-1.618 -3.489 0.458
4.483 -2.869 -6.029
4.144 -1.428 3.761
ATOMIC_POSITIONS angstrom
Er 3.977 -1.462 2.911
Nd 5.106 -2.517 -1.142
Si 3.771 -2.258 -3.882
Si 6.388 -5.280 -1.290
Nd 1.580 -3.135 -1.925
Er 4.959 -4.965 -3.936
Si 2.460 -1.116 0.184
Si 3.032 -3.434 0.921
```

Summary:
DFT total energy (eV/atom): -5.830

***

no.,volume (Å³/cell)
1,155
2,79
3,465
4,88
5,135
6,96
7,156
8,313
9,174
10,180
11,84
12,180